! La2PdO2F2 | the Alexandria database | GGA-PBEsol | relaxed; values from VASP
&SYSTEM
  ibrav = 0, nat = 7, ntyp = 4
/
ATOMIC_SPECIES
La 138.91 La.upf
Pd 106.42 Pd.upf
O 16.00 O.upf
F 19.00 F.upf
ATOMIC_POSITIONS crystal
La 0.128 0.128 0.000
La 0.872 0.872 0.000
Pd 0.500 0.500 0.000
O 0.000 0.500 0.500
O 0.500 0.000 0.500
F 0.250 0.750 0.500
F 0.750 0.250 0.500
CELL_PARAMETERS angstrom
-2.067 2.067 6.178
2.067 -2.067 6.178
2.067 2.067 -6.178
! Density   7.14 g cm⁻³
! SG   No. 139
! ΔE_f (raw)   -2.7328 eV/atom

---

! RbLaOF2 | the Alexandria database | GGA-PBEsol | relaxed; values from VASP
&SYSTEM
  ibrav = 0, nat = 5, ntyp = 4
/
ATOMIC_SPECIES
Rb 85.47 Rb.upf
La 138.91 La.upf
O 16.00 O.upf
F 19.00 F.upf
ATOMIC_POSITIONS crystal
Rb 0.000 0.000 0.000
La 0.500 0.500 0.500
O 0.000 0.000 0.500
F 0.000 0.500 0.000
F 0.500 0.000 0.000
CELL_PARAMETERS angstrom
4.564 0.000 0.000
0.000 4.564 0.000
0.000 0.000 4.933
! Density   4.50 g cm⁻³
! SG   No. 123
! ΔE_f (raw)   -1.6704 eV/atom

---

! LaRuO2F | the Alexandria database | GGA-PBEsol | relaxed; values from VASP
&SYSTEM
  ibrav = 0, nat = 5, ntyp = 4
/
ATOMIC_SPECIES
La 138.91 La.upf
Ru 101.07 Ru.upf
O 16.00 O.upf
F 19.00 F.upf
ATOMIC_POSITIONS crystal
La 0.000 0.000 0.000
Ru 0.500 0.500 0.500
O 0.000 0.500 0.000
O 0.500 0.000 0.000
F 0.000 0.000 0.500
CELL_PARAMETERS angstrom
4.558 0.000 0.000
0.000 4.558 0.000
0.000 0.000 4.472
! Density   5.20 g cm⁻³
! SG   No. 123
! ΔE_f (raw)   -0.8893 eV/atom

---

! LaRuO2F | the Alexandria database | GGA-PBEsol | relaxed; values from VASP
&SYSTEM
  ibrav = 0, nat = 5, ntyp = 4
/
ATOMIC_SPECIES
La 138.91 La.upf
Ru 101.07 Ru.upf
O 16.00 O.upf
F 19.00 F.upf
ATOMIC_POSITIONS crystal
La 0.000 0.000 0.000
Ru 0.500 0.500 0.500
O 0.000 0.500 0.500
O 0.500 0.000 0.500
F 0.500 0.500 0.000
CELL_PARAMETERS angstrom
4.019 0.000 0.000
0.000 4.019 0.000
0.000 0.000 3.959
! Density   7.55 g cm⁻³
! SG   No. 123
! ΔE_f (raw)   -1.8263 eV/atom

---

! LaSOF2 | the Alexandria database | GGA-PBEsol | relaxed; values from VASP
&SYSTEM
  ibrav = 0, nat = 5, ntyp = 4
/
ATOMIC_SPECIES
La 138.91 La.upf
S 32.06 S.upf
O 16.00 O.upf
F 19.00 F.upf
ATOMIC_POSITIONS crystal
La 0.000 0.000 0.000
S 0.500 0.500 0.500
O 0.500 0.500 0.000
F 0.000 0.500 0.500
F 0.500 0.000 0.500
CELL_PARAMETERS angstrom
4.663 0.000 0.000
0.000 4.663 0.000
0.000 0.000 3.512
! Density   4.89 g cm⁻³
! SG   No. 123
! ΔE_f (raw)   -1.5044 eV/atom

---

! LaSnO2F | the Alexandria database | GGA-PBEsol | relaxed; values from VASP
&SYSTEM
  ibrav = 0, nat = 5, ntyp = 4
/
ATOMIC_SPECIES
La 138.91 La.upf
Sn 118.71 Sn.upf
O 16.00 O.upf
F 19.00 F.upf
ATOMIC_POSITIONS crystal
La 0.000 0.000 0.000
Sn 0.500 0.500 0.500
O 0.000 0.500 0.500
O 0.500 0.000 0.500
F 0.500 0.500 0.000
CELL_PARAMETERS angstrom
4.299 0.000 0.000
0.000 4.299 0.000
0.000 0.000 4.331
! Density   6.40 g cm⁻³
! SG   No. 123
! ΔE_f (raw)   -1.8629 eV/atom

---

! LaOs3F | the Alexandria database | GGA-PBEsol | relaxed; values from VASP
&SYSTEM
  ibrav = 0, nat = 5, ntyp = 3
/
ATOMIC_SPECIES
La 138.91 La.upf
Os 190.23 Os.upf
F 19.00 F.upf
ATOMIC_POSITIONS crystal
La 0.000 0.000 0.000
Os 0.000 0.000 0.500
Os 0.000 0.500 0.000
Os 0.500 0.000 0.000
F 0.500 0.500 0.500
CELL_PARAMETERS angstrom
4.880 0.000 0.000
0.000 4.880 0.000
0.000 0.000 4.880
! Density   10.41 g cm⁻³
! SG   No. 221
! ΔE_f (raw)   3.1194 eV/atom

---

! La3OsF | the Alexandria database | GGA-PBEsol | relaxed; values from VASP
&SYSTEM
  ibrav = 0, nat = 5, ntyp = 3
/
ATOMIC_SPECIES
La 138.91 La.upf
Os 190.23 Os.upf
F 19.00 F.upf
ATOMIC_POSITIONS crystal
La 0.000 0.000 0.500
La 0.000 0.500 0.000
La 0.500 0.000 0.000
Os 0.000 0.000 0.000
F 0.500 0.500 0.500
CELL_PARAMETERS angstrom
5.554 0.000 0.000
0.000 5.554 0.000
0.000 0.000 5.554
! Density   6.07 g cm⁻³
! SG   No. 221
! ΔE_f (raw)   -0.2831 eV/atom

---

! LaSnOsF2 | the Alexandria database | GGA-PBEsol | relaxed; values from VASP
&SYSTEM
  ibrav = 0, nat = 5, ntyp = 4
/
ATOMIC_SPECIES
La 138.91 La.upf
Sn 118.71 Sn.upf
Os 190.23 Os.upf
F 19.00 F.upf
ATOMIC_POSITIONS crystal
La 0.000 0.000 0.000
Sn 0.500 0.500 0.500
Os 0.500 0.500 0.000
F 0.000 0.500 0.500
F 0.500 0.000 0.500
CELL_PARAMETERS angstrom
4.276 0.000 0.000
0.000 4.276 0.000
0.000 0.000 5.318
! Density   8.30 g cm⁻³
! SG   No. 123
! ΔE_f (raw)   -1.0587 eV/atom

---

! La2PbF2 | the Alexandria database | GGA-PBEsol | relaxed; values from VASP
&SYSTEM
  ibrav = 0, nat = 5, ntyp = 3
/
ATOMIC_SPECIES
La 138.91 La.upf
Pb 207.20 Pb.upf
F 19.00 F.upf
ATOMIC_POSITIONS crystal
La 0.136 0.136 0.000
La 0.864 0.864 0.000
Pb 0.500 0.500 0.000
F 0.250 0.750 0.500
F 0.750 0.250 0.500
CELL_PARAMETERS angstrom
-2.007 2.007 6.809
2.007 -2.007 6.809
2.007 2.007 -6.809
! Density   7.92 g cm⁻³
! SG   No. 139
! ΔE_f (raw)   -2.4735 eV/atom

---

! LaPb3F | the Alexandria database | GGA-PBEsol | relaxed; values from VASP
&SYSTEM
  ibrav = 0, nat = 5, ntyp = 3
/
ATOMIC_SPECIES
La 138.91 La.upf
Pb 207.20 Pb.upf
F 19.00 F.upf
ATOMIC_POSITIONS crystal
La 0.000 0.000 0.000
Pb 0.000 0.500 0.500
Pb 0.500 0.000 0.500
Pb 0.500 0.500 0.000
F 0.500 0.500 0.500
CELL_PARAMETERS angstrom
5.050 0.000 0.000
0.000 5.050 0.000
0.000 0.000 5.050
! Density   10.05 g cm⁻³
! SG   No. 221
! ΔE_f (raw)   -0.8413 eV/atom

---

! LaTcPbF2 | the Alexandria database | GGA-PBEsol | relaxed; values from VASP
&SYSTEM
  ibrav = 0, nat = 5, ntyp = 4
/
ATOMIC_SPECIES
La 138.91 La.upf
Tc 98.00 Tc.upf
Pb 207.20 Pb.upf
F 19.00 F.upf
ATOMIC_POSITIONS crystal
La 0.000 0.000 0.000
Tc 0.500 0.500 0.500
Pb 0.500 0.500 0.000
F 0.000 0.500 0.500
F 0.500 0.000 0.500
CELL_PARAMETERS angstrom
4.404 0.000 0.000
0.000 4.404 0.000
0.000 0.000 5.499
! Density   7.50 g cm⁻³
! SG   No. 123
! ΔE_f (raw)   -0.7231 eV/atom